Record 1
Density functional theory data (PBE) for a geometry-optimized PmHfPd structure.

Summary:
**DOS(E_F)**: 4.40 states/eV per cell
**Excess energy over the best structure of this formula in the dataset**: 0.00 eV per formula unit
**Symmetry**: I4mm (107)
**Crystal system**: tetragonal
**ΔE_f**: -0.386 eV/atom

```
3
Lattice="-1.7198 1.7198 5.9302 1.7198 -1.7198 5.9302 1.7198 1.7198 -5.9302" Properties=species:S:1:pos:R:3 pbc="T T T"
Pm 0.0000 0.0000 0.0000
Hf 0.0000 0.0000 3.5326
Pd 0.0000 0.0000 8.1576
```

Record 2
Density functional theory data (PBE) for a geometry-optimized Rb3SbSe structure.

Summary:
**DOS(E_F)**: 3.01 states/eV per cell
**Excess energy over the best structure of this formula in the dataset**: 0.00 eV per formula unit
**Symmetry**: C2/m (12)
**Crystal system**: monoclinic
**Formation energy from raw total energies**: -0.687 eV/atom

```
10
Lattice="8.6739 -2.3405 0.0000 8.6739 2.3405 0.0000 -1.4036 0.0000 10.9604" Properties=species:S:1:pos:R:3 pbc="T T T"
Rb 0.7673 0.0000 1.4828
Rb 2.9143 0.0000 9.2708
Rb 6.5669 0.0000 4.0981
Rb 9.3773 0.0000 6.8623
Rb 13.0300 0.0000 1.6897
Rb 15.1770 0.0000 9.4777
Sb 2.9425 0.0000 4.8989
Sb 13.0018 0.0000 6.0616
Se 6.6958 0.0000 0.8740
Se 9.2485 0.0000 10.0865
```